BaCa2HfPb | GGA-PBE | optimized geometry

Its uncorrected energy is -15.70 eV per cell. Its density of states at the Fermi level is 6.605 states/eV/f.u. For the formation energy from the elements, the calculation gives 778 meV per atom. The calculation puts the volume at 208.4 Å³/cell.

It has space group P4/mmm (No. 123), with a = 5.9131 Å, b = 5.9131 Å, c = 5.9616 Å, α = 90.00°, β = 90.00° and γ = 90.00°. The inequivalent atoms are Ba at (0.0000, 0.0000, 0.0000), Ca at (0.0000, 0.5000, 0.5000), Hf at (0.0000, 0.0000, 0.5000) and Pb at (0.5000, 0.5000, 0.0000).


Ba2CaHfPb | GGA-PBE | optimized geometry

Its uncorrected energy is -17.20 eV per cell. Its density of states at the Fermi level is 4.710 states/eV/f.u. For the formation energy from the elements, the calculation gives 461 meV per atom. The calculation puts the volume at 232.4 Å³/cell.

It has space group P4/mmm (No. 123), with a = 6.3805 Å, b = 6.3805 Å, c = 5.7087 Å, α = 90.00°, β = 90.00° and γ = 90.00°. The inequivalent atoms are Ba at (0.0000, 0.5000, 0.0000), Ca at (0.0000, 0.0000, 0.5000), Hf at (0.5000, 0.5000, 0.0000) and Pb at (0.5000, 0.5000, 0.5000).


- Among the records above, which one has the lowest uncorrected energy?
  Ba2CaHfPb